# GGA+U MnAuO2, optimized geometry
data_MnAuO2
_chemical_formula_sum 'Mn1 Au1 O2'
_symmetry_space_group_name_H-M 'P 1'
_symmetry_Int_Tables_number 1
_symmetry_space_group_name_Hall 'P 1'
_cell_length_a 6.029
_cell_length_b 6.029
_cell_length_c 6.029
_cell_angle_alpha 35.29
_cell_angle_beta 35.29
_cell_angle_gamma 35.29
loop_
_atom_site_label
_atom_site_fract_x
_atom_site_fract_y
_atom_site_fract_z
Au1 0.500 0.500 0.500
O1 0.111 0.111 0.111
O2 0.889 0.889 0.889
Mn1 0.000 0.000 0.000
# E_tot in eV/atom: -5.336
# SG: No. 166
# Total magnetic moment in μB/atom: 1.005